# PBE Ca2Br3Cl, relaxed
# - energy relative to the elements, uncorrected (meV per atom) = -2129.0
# - N(E_F) (states/eV/atom) = 0.00
# - E (eV for the cell shown) = -94.569
data_Ca2Br3Cl
_space_group_name_H-M_alt 'C 1 2/m 1'
_space_group_IT_number 12
_cell_length_a 18.126
_cell_length_b 4.261
_cell_length_c 14.027
_cell_angle_alpha 90.00
_cell_angle_beta 127.35
_cell_angle_gamma 90.00
loop_
_space_group_symop_operation_xyz
'x,y,z'
'-x,-y,-z'
'-x,y,-z'
'x,-y,z'
'x+1/2,y+1/2,z'
'-x+1/2,-y+1/2,-z'
'-x+1/2,y+1/2,-z'
'x+1/2,-y+1/2,z'
loop_
_atom_site_label
_atom_site_fract_x
_atom_site_fract_y
_atom_site_fract_z
Ca1 0.123 0.000 0.376
Ca2 0.125 0.500 0.870
Br1 0.066 0.000 0.695
Br2 0.182 0.000 0.045
Br3 0.190 0.500 0.556
Cl1 0.059 0.500 0.217

=====

# PBE Pr4DyHo2Mg, relaxed
# - N(E_F) (states/eV/atom) = 1.27
# - formation energy (kJ/mol of atoms) = 4.3
# - E (eV for the cell shown) = -34.112
data_Pr4DyHo2Mg
_space_group_name_H-M_alt 'P 4/m m m'
_space_group_IT_number 123
_space_group_name_Hall '-P 4 2'
_cell_length_a 5.814
_cell_length_b 5.814
_cell_length_c 7.767
_cell_angle_alpha 90.00
_cell_angle_beta 90.00
_cell_angle_gamma 90.00
loop_
_atom_site_label
_atom_site_fract_x
_atom_site_fract_y
_atom_site_fract_z
Pr1 0.000 0.500 0.240
Dy1 0.000 0.000 0.500
Ho1 0.000 0.000 0.000
Ho2 0.500 0.500 0.500
Mg1 0.500 0.500 0.000

=====

# PBE Ge2As2I, relaxed
# - energy relative to the elements, uncorrected (meV per atom) = 92.0
# - N(E_F) (states/eV/atom) = 0.25
# - polymorph energy (0 for the lowest one) (eV/atom) = 0.000
# - E (eV for the cell shown) = -39.248
data_Ge2As2I
_space_group_name_H-M_alt 'I 4/m m m'
_space_group_IT_number 139
_space_group_name_Hall '-I 4 2'
_cell_length_a 4.328
_cell_length_b 4.328
_cell_length_c 13.513
_cell_angle_alpha 90.00
_cell_angle_beta 90.00
_cell_angle_gamma 90.00
loop_
_atom_site_label
_atom_site_fract_x
_atom_site_fract_y
_atom_site_fract_z
Ge1 0.000 0.500 0.250
As1 0.000 0.000 0.136
I1 0.000 0.000 0.500

=====

# PBE FeH3Se, relaxed
# - N(E_F) (states/eV/atom) = 0.48
# - polymorph energy (0 for the lowest one) (eV/atom) = 0.000
# - E (eV for the cell shown) = -18.853
data_FeH3Se
_space_group_name_H-M_alt 'P m -3 m'
_space_group_IT_number 221
_space_group_name_Hall '-P 4 2 3'
_cell_length_a 3.392
_cell_length_b 3.392
_cell_length_c 3.392
_cell_angle_alpha 90.00
_cell_angle_beta 90.00
_cell_angle_gamma 90.00
loop_
_atom_site_label
_atom_site_fract_x
_atom_site_fract_y
_atom_site_fract_z
Fe1 0.000 0.000 0.000
H1 0.000 0.000 0.500
Se1 0.500 0.500 0.500

=====

# PBE Zn2NiIr, relaxed
# - N(E_F) (states/eV/atom) = 1.17
# - formation energy (kJ/mol of atoms) = -9.9
# - E (eV for the cell shown) = -35.202
data_Zn2NiIr
_space_group_name_H-M_alt 'I -4 m 2'
_space_group_IT_number 119
_space_group_name_Hall 'I -4 -2'
_cell_length_a 3.776
_cell_length_b 3.776
_cell_length_c 7.479
_cell_angle_alpha 90.00
_cell_angle_beta 90.00
_cell_angle_gamma 90.00
loop_
_atom_site_label
_atom_site_fract_x
_atom_site_fract_y
_atom_site_fract_z
Zn1 0.000 0.000 0.000
Zn2 0.000 0.500 0.250
Ni1 0.000 0.000 0.500
Ir1 0.000 0.500 0.750

=====

# PBE CdCu2Ir, relaxed
# - N(E_F) (states/eV/atom) = 0.77
# - formation energy (kJ/mol of atoms) = 14.4
# - E (eV for the cell shown) = -17.371
data_CdCu2Ir
_space_group_name_H-M_alt 'P 4 m m'
_space_group_IT_number 99
_cell_length_a 2.955
_cell_length_b 2.955
_cell_length_c 6.699
_cell_angle_alpha 90.00
_cell_angle_beta 90.00
_cell_angle_gamma 90.00
loop_
_space_group_symop_operation_xyz
'x,y,z'
'-y,x,z'
'-x,-y,z'
'y,-x,z'
'-x,y,z'
'y,x,z'
'x,-y,z'
'-y,-x,z'
loop_
_atom_site_label
_atom_site_fract_x
_atom_site_fract_y
_atom_site_fract_z
Cd1 0.000 0.000 0.000
Cu1 0.000 0.000 0.482
Cu2 0.500 0.500 0.279
Ir1 0.500 0.500 0.707

=====

# PBE Er2ThMgHg4, relaxed
# - N(E_F) (states/eV/atom) = 0.82
# - formation energy (kJ/mol of atoms) = -34.3
# - E (eV for the cell shown) = -66.573
data_Er2ThMgHg4
_space_group_name_H-M_alt 'R -3 m'
_space_group_IT_number 166
_space_group_name_Hall '-R 3 2"'
_cell_length_a 5.0710
_cell_length_b 5.0710
_cell_length_c 27.1975
_cell_angle_alpha 90.00
_cell_angle_beta 90.00
_cell_angle_gamma 120.00
loop_
_atom_site_label
_atom_site_fract_x
_atom_site_fract_y
_atom_site_fract_z
Er1 0.0000 0.0000 0.2426
Th1 0.0000 0.0000 0.0000
Mg1 0.0000 0.0000 0.5000
Hg1 0.0000 0.0000 0.1282
Hg2 0.0000 0.0000 0.3824

=====

# PBE Ho5ThAg4, relaxed
# - N(E_F) (states/eV/atom) = 0.57
# - formation energy (kJ/mol of atoms) = -25.5
# - E (eV for the cell shown) = -44.352
data_Ho5ThAg4
_space_group_name_H-M_alt 'P 4/m m m'
_space_group_IT_number 123
_space_group_name_Hall '-P 4 2'
_cell_length_a 3.585
_cell_length_b 3.585
_cell_length_c 19.569
_cell_angle_alpha 90.00
_cell_angle_beta 90.00
_cell_angle_gamma 90.00
loop_
_atom_site_label
_atom_site_fract_x
_atom_site_fract_y
_atom_site_fract_z
Ho1 0.000 0.000 0.000
Ho2 0.000 0.000 0.189
Ho3 0.000 0.000 0.377
Th1 0.500 0.500 0.500
Ag1 0.500 0.500 0.094
Ag2 0.500 0.500 0.282

=====

# PBE LiAc2PbO5, relaxed
# - energy relative to the elements, uncorrected (meV per atom) = -2044.0
# - N(E_F) (states/eV/atom) = 0.25
# - E (eV for the cell shown) = -114.052
data_LiAc2PbO5
_space_group_name_H-M_alt 'P 4/m b m'
_space_group_IT_number 127
_space_group_name_Hall '-P 4 2ab'
_cell_length_a 7.200
_cell_length_b 7.200
_cell_length_c 6.560
_cell_angle_alpha 90.00
_cell_angle_beta 90.00
_cell_angle_gamma 90.00
loop_
_atom_site_label
_atom_site_fract_x
_atom_site_fract_y
_atom_site_fract_z
Li1 0.000 0.000 0.000
Ac1 0.178 0.322 0.500
Pb1 0.000 0.500 0.000
O1 0.000 0.000 0.500
O2 0.144 0.644 0.258

=====

# PBE CaZrW2, relaxed
# - N(E_F) (states/eV/atom) = 1.23
# - polymorph energy (0 for the lowest one) (eV/atom) = 0.385
# - formation energy (kJ/mol of atoms) = 75.6
# - E (eV for the cell shown) = -66.645
data_CaZrW2
_space_group_name_H-M_alt 'I m m m'
_space_group_IT_number 71
_space_group_name_Hall '-I 2 2'
_cell_length_a 3.411
_cell_length_b 4.681
_cell_length_c 9.797
_cell_angle_alpha 90.00
_cell_angle_beta 90.00
_cell_angle_gamma 90.00
loop_
_atom_site_label
_atom_site_fract_x
_atom_site_fract_y
_atom_site_fract_z
Ca1 0.000 0.000 0.000
Zr1 0.000 0.000 0.500
W1 0.000 0.500 0.243

=====

# PBE TmZr2Ru, relaxed
# - N(E_F) (states/eV/atom) = 1.80
# - polymorph energy (0 for the lowest one) (eV/atom) = 0.092
# - formation energy (kJ/mol of atoms) = -17.1
# - E (eV for the cell shown) = -31.552
data_TmZr2Ru
_space_group_name_H-M_alt 'P 4/m m m'
_space_group_IT_number 123
_space_group_name_Hall '-P 4 2'
_cell_length_a 3.313
_cell_length_b 3.313
_cell_length_c 7.904
_cell_angle_alpha 90.00
_cell_angle_beta 90.00
_cell_angle_gamma 90.00
loop_
_atom_site_label
_atom_site_fract_x
_atom_site_fract_y
_atom_site_fract_z
Tm1 0.000 0.000 0.000
Zr1 0.500 0.500 0.297
Ru1 0.000 0.000 0.500

=====

# PBE Rb2HoAlO4, relaxed
# - energy relative to the elements, uncorrected (meV per atom) = -2257.0
# - N(E_F) (states/eV/atom) = 0.00
# - E (eV for the cell shown) = -385.154
data_Rb2HoAlO4
_space_group_name_H-M_alt 'F d d d'
_space_group_IT_number 70
_cell_length_a 5.520
_cell_length_b 12.527
_cell_length_c 22.697
_cell_angle_alpha 90.00
_cell_angle_beta 90.00
_cell_angle_gamma 90.00
loop_
_space_group_symop_operation_xyz
'x,y,z'
'-x,-y,-z'
'-x+1/4,-y+1/4,z'
'x+1/4,y+1/4,-z'
'x,-y+1/4,-z+1/4'
'-x,y+1/4,z+1/4'
'-x+1/4,y,-z+1/4'
'x+1/4,-y,z+1/4'
'x,y+1/2,z+1/2'
'-x,-y+1/2,-z+1/2'
'-x+1/4,-y+3/4,z+1/2'
'x+1/4,y+3/4,-z+1/2'
'x,-y+3/4,-z+3/4'
'-x,y+3/4,z+3/4'
'-x+1/4,y+1/2,-z+3/4'
'x+1/4,-y+1/2,z+3/4'
'x+1/2,y,z+1/2'
'-x+1/2,-y,-z+1/2'
'-x+3/4,-y+1/4,z+1/2'
'x+3/4,y+1/4,-z+1/2'
'x+1/2,-y+1/4,-z+3/4'
'-x+1/2,y+1/4,z+3/4'
'-x+3/4,y,-z+3/4'
'x+3/4,-y,z+3/4'
'x+1/2,y+1/2,z'
'-x+1/2,-y+1/2,-z'
'-x+3/4,-y+3/4,z'
'x+3/4,y+3/4,-z'
'x+1/2,-y+3/4,-z+1/4'
'-x+1/2,y+3/4,z+1/4'
'-x+3/4,y+1/2,-z+1/4'
'x+3/4,-y+1/2,z+1/4'
loop_
_atom_site_label
_atom_site_fract_x
_atom_site_fract_y
_atom_site_fract_z
Rb1 0.125 0.125 0.310
Ho1 0.125 0.125 0.125
Al1 0.125 0.125 0.625
O1 0.085 0.290 0.836

=====

# PBE TlGa2I2, relaxed
# - energy relative to the elements, uncorrected (meV per atom) = -273.9
# - N(E_F) (states/eV/atom) = 0.17
# - E (eV for the cell shown) = -25.780
data_TlGa2I2
_space_group_name_H-M_alt 'I 4/m m m'
_space_group_IT_number 139
_space_group_name_Hall '-I 4 2'
_cell_length_a 4.078
_cell_length_b 4.078
_cell_length_c 19.630
_cell_angle_alpha 90.00
_cell_angle_beta 90.00
_cell_angle_gamma 90.00
loop_
_atom_site_label
_atom_site_fract_x
_atom_site_fract_y
_atom_site_fract_z
Tl1 0.000 0.000 0.000
Ga1 0.000 0.500 0.250
I1 0.000 0.000 0.390

=====

# PBE Er6Pb3O, relaxed
# - energy relative to the elements, uncorrected (meV per atom) = -812.3
# - N(E_F) (states/eV/atom) = 0.92
# - E (eV for the cell shown) = -206.335
data_Er6Pb3O
_space_group_name_H-M_alt 'C m c 21'
_space_group_IT_number 36
_cell_length_a 12.177
_cell_length_b 14.311
_cell_length_c 6.297
_cell_angle_alpha 90.00
_cell_angle_beta 90.00
_cell_angle_gamma 90.00
loop_
_space_group_symop_operation_xyz
'x,y,z'
'-x,-y,z+1/2'
'-x,y,z'
'x,-y,z+1/2'
'x+1/2,y+1/2,z'
'-x+1/2,-y+1/2,z+1/2'
'-x+1/2,y+1/2,z'
'x+1/2,-y+1/2,z+1/2'
loop_
_atom_site_label
_atom_site_fract_x
_atom_site_fract_y
_atom_site_fract_z
Er1 0.000 0.093 0.000
Er2 0.000 0.297 0.699
Er3 0.159 0.288 0.182
Er4 0.222 0.448 0.633
Pb1 0.000 0.474 0.357
Pb2 0.128 0.115 0.503
O1 0.000 0.249 0.026

=====

# PBE GdTlSnPb, relaxed
# - N(E_F) (states/eV/atom) = 1.13
# - formation energy (kJ/mol of atoms) = -18.0
# - E (eV for the cell shown) = -99.611
data_GdTlSnPb
_space_group_name_H-M_alt 'F -4 3 m'
_space_group_IT_number 216
_space_group_name_Hall 'F -4 2 3'
_cell_length_a 7.769
_cell_length_b 7.769
_cell_length_c 7.769
_cell_angle_alpha 90.00
_cell_angle_beta 90.00
_cell_angle_gamma 90.00
loop_
_atom_site_label
_atom_site_fract_x
_atom_site_fract_y
_atom_site_fract_z
Gd1 0.000 0.000 0.000
Tl1 0.250 0.250 0.750
Sn1 0.250 0.250 0.250
Pb1 0.000 0.000 0.500

=====

# PBE CdSbMo2, relaxed
# - energy relative to the elements, uncorrected (meV per atom) = 630.7
# - N(E_F) (states/eV/atom) = 1.02
# - polymorph energy (0 for the lowest one) (eV/atom) = 0.398
# - E (eV for the cell shown) = -48.354
data_CdSbMo2
_space_group_name_H-M_alt 'C m m m'
_space_group_IT_number 65
_space_group_name_Hall '-C 2 2'
_cell_length_a 3.416
_cell_length_b 4.822
_cell_length_c 9.091
_cell_angle_alpha 90.00
_cell_angle_beta 90.00
_cell_angle_gamma 90.00
loop_
_atom_site_label
_atom_site_fract_x
_atom_site_fract_y
_atom_site_fract_z
Cd1 0.000 0.000 0.000
Sb1 0.000 0.000 0.500
Mo1 0.000 0.500 0.261

=====

# PBE Ac2NdH, relaxed
# - N(E_F) (states/eV/atom) = 1.29
# - polymorph energy (0 for the lowest one) (eV/atom) = 0.000
# - E (eV for the cell shown) = -48.189
data_Ac2NdH
_space_group_name_H-M_alt 'R -3 m'
_space_group_IT_number 166
_space_group_name_Hall '-R 3 2"'
_cell_length_a 3.8187
_cell_length_b 3.8187
_cell_length_c 31.0127
_cell_angle_alpha 90.00
_cell_angle_beta 90.00
_cell_angle_gamma 120.00
loop_
_atom_site_label
_atom_site_fract_x
_atom_site_fract_y
_atom_site_fract_z
Ac1 0.0000 0.0000 0.1167
Nd1 0.0000 0.0000 0.0000
H1 0.0000 0.0000 0.5000

=====

# PBE Er4BiTe2Se, relaxed
# - energy relative to the elements, uncorrected (meV per atom) = -1232.4
# - N(E_F) (states/eV/atom) = 0.48
# - E (eV for the cell shown) = -41.760
data_Er4BiTe2Se
_space_group_name_H-M_alt 'P 1 2/m 1'
_space_group_IT_number 10
_cell_length_a 7.435
_cell_length_b 4.270
_cell_length_c 7.456
_cell_angle_alpha 90.00
_cell_angle_beta 109.22
_cell_angle_gamma 90.00
loop_
_space_group_symop_operation_xyz
'x,y,z'
'-x,-y,-z'
'-x,y,-z'
'x,-y,z'
loop_
_atom_site_label
_atom_site_fract_x
_atom_site_fract_y
_atom_site_fract_z
Er1 0.223 0.000 0.224
Er2 0.234 0.500 0.763
Bi1 0.500 0.000 0.000
Te1 0.000 0.000 0.500
Te2 0.500 0.500 0.500
Se1 0.000 0.500 0.000

=====

# PBE TmLuRu, relaxed
# - N(E_F) (states/eV/atom) = 0.18
# - polymorph energy (0 for the lowest one) (eV/atom) = 0.071
# - formation energy (kJ/mol of atoms) = -34.6
# - E (eV for the cell shown) = -77.378
data_TmLuRu
_space_group_name_H-M_alt 'F -4 3 m'
_space_group_IT_number 216
_space_group_name_Hall 'F -4 2 3'
_cell_length_a 6.645
_cell_length_b 6.645
_cell_length_c 6.645
_cell_angle_alpha 90.00
_cell_angle_beta 90.00
_cell_angle_gamma 90.00
loop_
_atom_site_label
_atom_site_fract_x
_atom_site_fract_y
_atom_site_fract_z
Tm1 0.000 0.000 0.000
Lu1 0.000 0.000 0.500
Ru1 0.250 0.250 0.750

=====

# PBE ZrHgMo2, relaxed
# - N(E_F) (states/eV/atom) = 0.91
# - formation energy (kJ/mol of atoms) = 35.6
# - E (eV for the cell shown) = -29.037
data_ZrHgMo2
_space_group_name_H-M_alt 'P 4/m m m'
_space_group_IT_number 123
_space_group_name_Hall '-P 4 2'
_cell_length_a 3.455
_cell_length_b 3.455
_cell_length_c 6.155
_cell_angle_alpha 90.00
_cell_angle_beta 90.00
_cell_angle_gamma 90.00
loop_
_atom_site_label
_atom_site_fract_x
_atom_site_fract_y
_atom_site_fract_z
Zr1 0.000 0.000 0.000
Hg1 0.000 0.000 0.500
Mo1 0.500 0.500 0.241